DFT (PBE) results for crystalline Tl2PtI7 at its relaxed geometry.

Cell lengths 8.149, 27.393, 7.315 Å; angles 51.55, 56.15, 81.45 degrees
Atoms (fractional coordinates):
I (0.815, 0.744, 0.590)
I (0.545, 0.750, 0.250)
I (0.694, 0.539, 0.864)
I (0.649, 0.121, 0.096)
I (0.903, 0.039, 0.364)
I (0.866, 0.379, 0.404)
I (0.134, 0.621, 0.596)
I (0.351, 0.879, 0.904)
I (0.097, 0.961, 0.636)
I (0.185, 0.256, 0.410)
I (0.852, 0.244, 0.090)
I (0.148, 0.756, 0.910)
I (0.306, 0.461, 0.136)
I (0.455, 0.250, 0.750)
Pt (0.221, 0.750, 0.250)
Pt (0.779, 0.250, 0.750)
Tl (0.356, 0.633, 0.973)
Tl (0.644, 0.367, 0.027)
Tl (0.039, 0.133, 0.473)
Tl (0.961, 0.867, 0.527)

Output
Symmetry: C2/c
Uncorrected formation energy, eV per formula unit: -2.41